Entry from the Alexandria database: BeTlCrCd2 after structural relaxation (PBE).

Computed properties:
The space-group type is P4/mmm. The calculated density comes out at 7.35 g cm⁻³. The value obtained for the energy of formation from the pure elements is 655 meV/atom. The volume comes out at 22.14 A^3/atom.

Cell: 4.745 4.917 4.745 Å, 90.00 90.00 90.00°
Element x y z (fractional)
Tl: 0.000 0.500 0.000
Cd: 0.500 0.000 0.000
Cd: 0.000 0.000 0.500
Be: 0.000 0.000 0.000
Cr: 0.500 0.500 0.500